1.
Computed, not measured: CsHgI after structural relaxation at the PBE level of DFT.

Cell: 6.9124 6.9093 7.6614 Å, 89.98 90.00 120.02°
Last column: nearest neighbours and their distance in Å.
Positions (direct):
1 Hg 0.0017 0.0035 0.7650  1 Hg 3.60, 3 I 3.99, 3 Cs 3.99
2 I 0.6652 0.3303 0.2490  5 Cs 3.83-3.99, 3 Hg 3.99
3 I 0.3348 0.6697 0.7510  5 Cs 3.83-3.99, 3 Hg 3.99
4 Cs 0.3319 0.6638 0.2515  5 I 3.83-3.99, 3 Hg 3.99
5 Hg 0.9983 0.9965 0.2350  1 Hg 3.60, 3 I 3.99, 3 Cs 3.99
6 Cs 0.6681 0.3362 0.7485  5 I 3.83-3.99, 3 Hg 3.99

Calculated values
Density of states at the Fermi level (states/eV per atom): 0.0000
Relative energy among the computed polymorphs (kJ/mol of atoms): 0.0
Symmetry: C2/m, No. 12
Final energy (eV/cell): -11.20
Theoretical density (kg/m³): 4826
Raw formation energy (eV/atom): -0.96

2.
Computed, not measured: Sc2Ni after structural relaxation at the PBE level of DFT.

Cell: 6.2692 6.2692 6.2692 Å, 90.00 90.00 90.00°
Last column: nearest neighbours and their distance in Å.
Positions (direct):
1 Sc 0.8386 0.3386 0.1614  3 Ni 2.56
2 Ni 0.0000 0.0000 0.0000  6 Sc 2.56
3 Sc 0.3386 0.3386 0.3386  3 Ni 2.56
4 Sc 0.6614 0.8386 0.1614  3 Ni 2.56
5 Sc 0.1614 0.6614 0.8386  3 Ni 2.56
6 Ni 0.5000 0.0000 0.5000  6 Sc 2.56
7 Ni 0.0000 0.5000 0.5000  6 Sc 2.56
8 Sc 0.6614 0.6614 0.6614  3 Ni 2.56
9 Sc 0.1614 0.8386 0.3386  3 Ni 2.56
10 Sc 0.8386 0.1614 0.6614  3 Ni 2.56
11 Ni 0.5000 0.5000 0.0000  6 Sc 2.56
12 Sc 0.3386 0.1614 0.8386  3 Ni 2.56

Calculated values
Density of states at the Fermi level (states/eV per atom): 1.3572
Symmetry: Pa-3, No. 205
Energy relative to the elements (eV/atom): -0.21
Final energy (eV/cell): -76.29
Theoretical density (kg/m³): 4006

3.
Computed, not measured: CrP2Ir after structural relaxation at the PBE level of DFT.

Cell: 5.7387 5.7387 5.7387 Å, 148.97 146.49 46.31°
Last column: nearest neighbours and their distance in Å.
Positions (direct):
1 P 0.2956 0.7956 0.5000  2 Cr 2.30, 4 Ir 2.44
2 Cr 0.4580 0.4580 0.0000  6 P 2.30-2.41
3 Ir 0.7082 0.2082 0.5000  6 P 2.44
4 P 0.0382 0.0382 0.0000  4 Cr 2.41, 2 Ir 2.44

Calculated values
Density of states at the Fermi level (states/eV per atom): 0.6083
Relative energy among the computed polymorphs (kJ/mol of atoms): 6.7
Symmetry: Imm2, No. 44
Energy relative to the elements (eV/atom): -0.26
Final energy (eV/cell): -30.35
Theoretical density (kg/m³): 9487

4.
Computed, not measured: Ac2La5Sm3 after structural relaxation at the PBE level of DFT.

Cell: 10.7199 10.7021 11.7016 Å, 131.37 131.41 63.60°
Last column: nearest neighbours and their distance in Å.
Positions (direct):
1 Ac 0.7821 0.0281 0.7532  3 Sm 3.51-3.63, 4 La 3.57-3.71
2 Ac 0.2179 0.9719 0.2468  3 Sm 3.51-3.63, 4 La 3.57-3.71
3 Ac 0.4711 0.7251 0.7532  3 Sm 3.51-3.63, 4 La 3.57-3.71
4 La 0.7363 0.4863 0.9725  3 La 3.11-3.47, 2 Sm 3.46
5 La 0.5248 0.2748 0.5496  1 La 3.11
6 Sm 0.7244 0.4678 0.2498  5 La 3.46-3.73, 1 Ac 3.51, 1 Sm 3.62
7 La 0.8761 0.6265 0.7540  3 La 3.47-3.60, 1 Sm 3.54
8 Sm 0.7723 0.0223 0.0446  1 La 3.14
9 La 0.1239 0.3735 0.2460  3 La 3.47-3.60, 1 Sm 3.54
10 La 0.0141 0.7641 0.5283  3 Sm 3.14-3.47, 2 La 3.51
11 La 0.2637 0.5137 0.0275  3 La 3.11-3.47, 2 Sm 3.46
12 Ac 0.5289 0.2749 0.2468  3 Sm 3.51-3.63, 4 La 3.57-3.71
13 La 0.6221 0.8725 0.2460  3 La 3.47-3.60, 1 Sm 3.54
14 Sm 0.0254 0.7821 0.2498  5 La 3.46-3.73, 1 Ac 3.51, 1 Sm 3.62
15 Sm 0.2756 0.5322 0.7502  5 La 3.46-3.73, 1 Ac 3.51, 1 Sm 3.62
16 La 0.4752 0.7252 0.4504  1 La 3.11
17 Sm 0.9746 0.2179 0.7502  5 La 3.46-3.73, 1 Ac 3.51, 1 Sm 3.62
18 La 0.9859 0.2359 0.4717  3 Sm 3.14-3.47, 2 La 3.51
19 Sm 0.2277 0.9777 0.9554  1 La 3.14
20 La 0.3779 0.1275 0.7540  3 La 3.47-3.60, 1 Sm 3.54

Calculated values
Density of states at the Fermi level (states/eV per atom): 1.7981
Symmetry: C2/c, No. 15
Energy relative to the elements (eV/atom): 0.16
Final energy (eV/cell): -90.80
Theoretical density (kg/m³): 7031

5.
Computed, not measured: FeCl3 after structural relaxation at the PBE level of DFT.

Cell: 3.2718 3.1041 9.5737 Å, 90.00 90.00 90.00°
Last column: nearest neighbours and their distance in Å.
Positions (direct):
1 Cl 0.0000 0.0000 0.1295  2 Fe 2.32
2 Cl 0.5000 0.5000 0.7900  4 Cl 3.10-3.27
3 Fe 0.0000 0.5000 0.3091  6 Cl 2.32-2.57
4 Cl 0.5000 0.0000 0.4381  4 Fe 2.57

Calculated values
Density of states at the Fermi level (states/eV per atom): 0.5086
Symmetry: Pmm2, No. 25
Final energy (eV/cell): -14.85
Theoretical density (kg/m³): 2770
Raw formation energy (eV/atom): -0.21

6.
Computed, not measured: KTl2 after structural relaxation at the PBE level of DFT.

Cell: 8.7363 8.7363 8.7363 Å, 60.00 60.00 60.00°
Last column: nearest neighbours and their distance in Å.
Positions (direct):
1 Tl 0.4069 0.4069 0.4069  3 Tl 3.25, 3 K 3.53
2 Tl 0.4069 0.4069 0.7794  3 Tl 3.25, 3 K 3.53
3 Tl 0.8431 0.8431 0.4706  3 Tl 3.25, 3 K 3.53
4 K 0.6250 0.1250 0.1250  6 Tl 3.53
5 Tl 0.7794 0.4069 0.4069  3 Tl 3.25, 3 K 3.53
6 Tl 0.8431 0.4706 0.8431  3 Tl 3.25, 3 K 3.53
7 K 0.1250 0.6250 0.1250  6 Tl 3.53
8 Tl 0.8431 0.8431 0.8431  3 Tl 3.25, 3 K 3.53
9 K 0.1250 0.1250 0.6250  6 Tl 3.53
10 Tl 0.4706 0.8431 0.8431  3 Tl 3.25, 3 K 3.53
11 Tl 0.4069 0.7794 0.4069  3 Tl 3.25, 3 K 3.53
12 K 0.1250 0.1250 0.1250  6 Tl 3.53

Calculated values
Density of states at the Fermi level (states/eV per atom): 0.7381
Relative energy among the computed polymorphs (kJ/mol of atoms): 17.9
Symmetry: Fd-3m, No. 227
Energy relative to the elements (eV/atom): 0.07
Final energy (eV/cell): -22.46
Theoretical density (kg/m³): 6309

7.
Computed, not measured: TaTl2TcO after structural relaxation at the PBE level of DFT.

Cell: 5.4765 3.5929 5.4765 Å, 90.00 90.00 90.00°
Last column: nearest neighbours and their distance in Å.
Positions (direct):
1 Tl 0.5000 0.0000 0.0000  2 Tc 2.74
2 O 0.0000 0.5000 0.0000  2 Tc 1.80
3 Ta 0.5000 0.5000 0.5000  8 Tl 3.27, 2 Ta 3.59
4 Tl 0.0000 0.0000 0.5000  2 Tc 2.74
5 Tc 0.0000 0.0000 0.0000  2 O 1.80

Calculated values
Density of states at the Fermi level (states/eV per atom): 0.9394
Symmetry: P4/mmm, No. 123
Final energy (eV/cell): -28.83
Theoretical density (kg/m³): 10844
Raw formation energy (eV/atom): 0.62

8.
Computed, not measured: PrDyY6Ho2 after structural relaxation at the PBE level of DFT.

Cell: 9.7046 8.7739 8.7739 Å, 117.17 94.61 94.61°
Last column: nearest neighbours and their distance in Å.
Positions (direct):
1 Ho 0.0458 0.2918 0.1918  6 Y 3.28-3.63, 2 Dy 3.37-3.38, 1 Pr 3.57
2 Ho 0.5458 0.1918 0.2918  6 Y 3.28-3.63, 2 Dy 3.37-3.38, 1 Pr 3.57
3 Y 0.5560 0.7521 0.1183  7 Y 3.42-3.83, 1 Ho 3.45, 1 Dy 3.63, 1 Pr 3.83
4 Y 0.3185 0.9766 0.4263  3 Y 3.24-3.63, 2 Ho 3.41-3.63, 1 Pr 3.50, 1 Dy 3.54
5 Dy 0.2500 0.9759 0.0241  4 Ho 3.37-3.38, 4 Y 3.54-3.63
6 Y 0.3807 0.5051 0.2946  4 Y 3.24-3.59, 3 Ho 3.28-3.45, 2 Pr 3.43-3.56
7 Y 0.6815 0.0234 0.5737  3 Y 3.24-3.63, 2 Ho 3.41-3.63, 1 Pr 3.50, 1 Dy 3.54
8 Y 0.6193 0.4949 0.7054  4 Y 3.24-3.59, 3 Ho 3.28-3.45, 2 Pr 3.43-3.56
9 Y 0.8185 0.4263 0.9766  3 Y 3.24-3.63, 2 Ho 3.41-3.63, 1 Pr 3.50, 1 Dy 3.54
10 Y 0.1193 0.7054 0.4949  4 Y 3.24-3.59, 3 Ho 3.28-3.45, 2 Pr 3.43-3.56
11 Y 0.1815 0.5737 0.0234  3 Y 3.24-3.63, 2 Ho 3.41-3.63, 1 Pr 3.50, 1 Dy 3.54
12 Pr 0.2500 0.4057 0.5943  8 Y 3.43-3.83, 2 Ho 3.57
13 Y 0.8807 0.2946 0.5051  4 Y 3.24-3.59, 3 Ho 3.28-3.45, 2 Pr 3.43-3.56
14 Ho 0.9542 0.7082 0.8082  6 Y 3.28-3.63, 2 Dy 3.37-3.38, 1 Pr 3.57
15 Y 0.0560 0.1183 0.7521  7 Y 3.42-3.83, 1 Ho 3.45, 1 Dy 3.63, 1 Pr 3.83
16 Y 0.9440 0.8817 0.2479  7 Y 3.42-3.83, 1 Ho 3.45, 1 Dy 3.63, 1 Pr 3.83
17 Pr 0.7500 0.5943 0.4057  8 Y 3.43-3.83, 2 Ho 3.57
18 Dy 0.7500 0.0241 0.9759  4 Ho 3.37-3.38, 4 Y 3.54-3.63
19 Y 0.4440 0.2479 0.8817  7 Y 3.42-3.83, 1 Ho 3.45, 1 Dy 3.63, 1 Pr 3.83
20 Ho 0.4542 0.8082 0.7082  6 Y 3.28-3.63, 2 Dy 3.37-3.38, 1 Pr 3.57

Calculated values
Density of states at the Fermi level (states/eV per atom): 1.5651
Symmetry: C2/c, No. 15
Energy relative to the elements (eV/atom): 0.12
Final energy (eV/cell): -112.21
Theoretical density (kg/m³): 5901

9.
Computed, not measured: YPRhO2 after structural relaxation at the PBE level of DFT.

Cell: 3.9793 3.9793 4.8178 Å, 90.00 90.00 90.00°
Last column: nearest neighbours and their distance in Å.
Positions (direct):
1 O 0.0000 0.5000 0.0000  2 Rh 1.99
2 Y 0.5000 0.5000 0.5000  4 P 2.81, 8 O 3.12
3 P 0.0000 0.0000 0.5000  2 Rh 2.41
4 O 0.5000 0.0000 0.0000  2 Rh 1.99
5 Rh 0.0000 0.0000 0.0000  4 O 1.99

Calculated values
Density of states at the Fermi level (states/eV per atom): 0.8308
Relative energy among the computed polymorphs (kJ/mol of atoms): 0.0
Symmetry: P4/mmm, No. 123
Final energy (eV/cell): -33.62
Theoretical density (kg/m³): 5546
Raw formation energy (eV/atom): -0.89

10.
Computed, not measured: NaPa4Se8 after structural relaxation at the PBE level of DFT.

Cell: 8.4778 8.4778 8.4778 Å, 60.00 60.00 60.00°
Last column: nearest neighbours and their distance in Å.
Positions (direct):
1 Se 0.6133 0.6133 0.1602  1 Na 2.84, 3 Pa 2.89
2 Se 0.5968 0.1344 0.1344  3 Pa 2.86
3 Se 0.1344 0.5968 0.1344  3 Pa 2.86
4 Se 0.6133 0.6133 0.6133  1 Na 2.84, 3 Pa 2.89
5 Se 0.1344 0.1344 0.1344  3 Pa 2.86
6 Pa 0.3730 0.8811 0.3730  6 Se 2.86-2.89
7 Se 0.1344 0.1344 0.5968  3 Pa 2.86
8 Se 0.6133 0.1602 0.6133  1 Na 2.84, 3 Pa 2.89
9 Pa 0.8811 0.3730 0.3730  6 Se 2.86-2.89
10 Na 0.7500 0.7500 0.7500  4 Se 2.84
11 Se 0.1602 0.6133 0.6133  1 Na 2.84, 3 Pa 2.89
12 Pa 0.3730 0.3730 0.3730  6 Se 2.86-2.89
13 Pa 0.3730 0.3730 0.8811  6 Se 2.86-2.89

Calculated values
Density of states at the Fermi level (states/eV per atom): 2.0438
Relative energy among the computed polymorphs (kJ/mol of atoms): 1.3
Symmetry: F-43m, No. 216
Final energy (eV/cell): -83.97
Theoretical density (kg/m³): 6085
Raw formation energy (eV/atom): -1.29

11.
Computed, not measured: Rb2SrSnF6 after structural relaxation at the PBE level of DFT.

Cell: 6.7458 6.7458 6.7459 Å, 60.00 60.00 90.00°
Last column: nearest neighbours and their distance in Å.
Positions (direct):
1 Rb 0.2500 0.7500 0.5000  12 F 3.37
2 F 0.2492 0.2492 0.5017  1 Sn 2.38, 1 Sr 2.39
3 Rb 0.7500 0.2500 0.5000  12 F 3.37
4 F 0.7508 0.7508 0.4983  1 Sn 2.38, 1 Sr 2.39
5 Sr 0.5000 0.5000 0.0000  6 F 2.39
6 Sn 0.0000 0.0000 0.0000  6 F 2.38
7 F 0.7508 0.7508 0.0000  1 Sn 2.38, 1 Sr 2.39
8 F 0.2492 0.2492 0.0000  1 Sn 2.38, 1 Sr 2.39
9 F 0.7508 0.2492 0.0000  1 Sn 2.38, 1 Sr 2.39
10 F 0.2492 0.7508 0.0000  1 Sn 2.38, 1 Sr 2.39

Calculated values
Density of states at the Fermi level (states/eV per atom): 0.0000
Symmetry: Fm-3m, No. 225
Final energy (eV/cell): -47.98
Theoretical density (kg/m³): 3758
Raw formation energy (eV/atom): -2.91

12.
Computed, not measured: Hf2ThFe9 after structural relaxation at the PBE level of DFT.

Cell: 4.9936 4.9936 8.5521 Å, 73.03 73.03 60.00°
Last column: nearest neighbours and their distance in Å.
Positions (direct):
1 Hf 0.8565 0.8565 0.4306  12 Fe 2.86-2.94, 3 Hf 3.09
2 Fe 0.0830 0.5877 0.7416  7 Fe 2.43-2.55
3 Fe 0.6671 0.6671 0.9987  6 Fe 2.52-2.55
4 Fe 0.4123 0.9170 0.2584  7 Fe 2.43-2.55
5 Fe 0.5877 0.5877 0.7416  7 Fe 2.43-2.55
6 Th 0.0000 0.0000 0.0000  6 Fe 2.88
7 Fe 0.4123 0.4123 0.2584  7 Fe 2.43-2.55
8 Fe 0.9170 0.4123 0.2584  7 Fe 2.43-2.55
9 Fe 0.5877 0.0830 0.7416  7 Fe 2.43-2.55
10 Fe 0.5000 0.5000 0.5000  6 Fe 2.43
11 Fe 0.3329 0.3329 0.0013  6 Fe 2.52-2.55
12 Hf 0.1435 0.1435 0.5694  12 Fe 2.86-2.94, 3 Hf 3.09

Calculated values
Density of states at the Fermi level (states/eV per atom): 0.7689
Symmetry: R-3m, No. 166
Energy relative to the elements (eV/atom): -0.22
Final energy (eV/cell): -106.11
Theoretical density (kg/m³): 10425